No. 1
CaSiGe, optimized geometry, DFT PBE; energy above the lowest structure with this stoichiometry = 0.0107 eV per atom
1.0
-4.9326 -2.7917 2.7827
-0.2991 -2.4799 -3.0181
3.5261 -3.6165 2.6221
Ca Si Ge
2 2 2
direct
0.5000 0.5000 0.1899
0.0000 0.0000 0.4355
0.1928 0.0000 0.9380
0.8072 0.0000 0.9380
0.2964 0.5000 0.6924
0.7036 0.5000 0.6924

=====

No. 2
Ca3SiGe3, optimized geometry, DFT PBE; E_tot = -4.119 eV/atom
1.0
4.4782 0.0000 0.6746
2.1918 5.4882 0.6512
0.2810 0.3552 13.3363
Ge Ca Si
6 6 2
direct
0.8940 0.1369 0.0752
0.9850 0.8014 0.2285
0.1060 0.8631 0.9248
0.8348 0.7891 0.5413
0.0150 0.1986 0.7715
0.1652 0.2109 0.4587
0.5120 0.3544 0.6216
0.6068 0.7084 0.0780
0.2693 0.2334 0.2280
0.7307 0.7666 0.7720
0.4880 0.6456 0.3784
0.3932 0.2916 0.9220
0.7730 0.0746 0.3794
0.2270 0.9254 0.6206

=====

No. 3
CaSiGe, optimized geometry, DFT PBE; energy above the lowest structure with this stoichiometry = 0.1189 eV per atom
1.0
4.1941 0.0000 0.0000
0.0000 4.2617 0.0000
0.0000 -2.1309 3.6907
Ge Si Ca
1 1 1
direct
0.1674 0.0000 0.0000
0.1659 0.6667 0.3333
0.6667 0.3333 0.6667

=====

No. 4
CaSiGe, optimized geometry, DFT PBE; energy above the lowest structure with this stoichiometry = 0.0000 eV per atom
1.0
-1.9857 -1.3829 6.3334
-1.8314 -3.2274 -1.2789
9.4830 -5.1495 -0.5846
Ge Ca Si
4 4 4
direct
0.8453 0.5000 0.5522
0.1547 0.0000 0.9478
0.8453 0.0000 0.0522
0.1547 0.5000 0.4478
0.2533 0.5000 0.7472
0.7467 0.5000 0.2528
0.2533 0.0000 0.2472
0.7467 0.0000 0.7528
0.3541 0.0000 0.5471
0.6459 0.5000 0.9529
0.6459 0.0000 0.4529
0.3541 0.5000 0.0471